# 1
A plane-wave DFT calculation with GGA-PBE was carried out for an optimized crystal structure of TlCrIn. Values from VASP.

Structure (Quantum ESPRESSO input):
```
&SYSTEM
  ibrav = 0, nat = 12, ntyp = 3
/
ATOMIC_SPECIES
Tl 204.38 Tl.upf
Cr 52.00 Cr.upf
In 114.82 In.upf
ATOMIC_POSITIONS angstrom
Tl 0.000 0.000 0.000
Tl 0.000 3.340 3.340
Tl 3.340 0.000 3.340
Tl 3.340 3.340 0.000
Cr 1.670 1.670 1.670
Cr 1.670 5.010 5.010
Cr 5.010 1.670 5.010
Cr 5.010 5.010 1.670
In 0.000 0.000 3.340
In 0.000 3.340 0.000
In 3.340 0.000 0.000
In 3.340 3.340 3.340
CELL_PARAMETERS angstrom
6.680 0.000 0.000
0.000 6.680 0.000
0.000 0.000 6.680
```

Values from the calculation:
formation enthalpy at 0 K = 475 meV/atom
polymorph energy (0 for the lowest one) = 0.031 eV/atom

=====

# 2
A plane-wave DFT calculation with GGA-PBE was carried out for an optimized crystal structure of TlCr2In. Values from VASP.

Structure (Quantum ESPRESSO input):
```
&SYSTEM
  ibrav = 0, nat = 16, ntyp = 3
/
ATOMIC_SPECIES
Tl 204.38 Tl.upf
Cr 52.00 Cr.upf
In 114.82 In.upf
ATOMIC_POSITIONS angstrom
Tl 0.000 0.000 0.000
Tl 0.000 3.405 3.405
Tl 3.405 0.000 3.405
Tl 3.405 3.405 0.000
Cr 1.703 1.703 1.703
Cr 1.703 1.703 5.108
Cr 1.703 5.108 1.703
Cr 1.703 5.108 5.108
Cr 5.108 1.703 1.703
Cr 5.108 1.703 5.108
Cr 5.108 5.108 1.703
Cr 5.108 5.108 5.108
In 0.000 0.000 3.405
In 0.000 3.405 0.000
In 3.405 0.000 0.000
In 3.405 3.405 3.405
CELL_PARAMETERS angstrom
6.810 0.000 0.000
0.000 6.810 0.000
0.000 0.000 6.810
```

Values from the calculation:
formation enthalpy at 0 K = 548 meV/atom
polymorph energy (0 for the lowest one) = 0.205 eV/atom